{"formula": "AcMgCdPd", "functional": "PBE", "state": "relaxed", "lattice": [[4.158, -2.403, 0.000], [4.158, 2.403, 0.000], [-2.777, 0.000, 5.243]], "species": ["Ac", "Mg", "Cd", "Pd"], "fractional_positions": [[0.000, 0.000, 0.000], [0.519, 0.519, 0.557], [0.790, 0.790, 0.371], [0.199, 0.199, 0.598]], "e_form_ev_per_fu": -1.95, "n_ef_per_ev_cell": 2.7, "crystal_system": "monoclinic", "space_group": "Cm", "total_magnetization_mub_per_fu": 0.00, "dft_energy_ev_per_cell": -13.764, "density_g_cm3": 7.5, "vol_a3_per_atom": 26.19}